--- A ---
SrCdMo2 | PBE | relaxed

## Properties
Space-group type: R-3m
Crystal system: trigonal

Unit cell a=10.7851 b=10.7851 c=10.7851 alpha=15.81 beta=15.81 gamma=15.81
Fractional coordinates of all 4 atoms:
Cd: 0.7500 0.7500 0.7500
Mo: 0.4935 0.4935 0.4935
Mo: 0.0065 0.0065 0.0065
Sr: 0.2500 0.2500 0.2500

***

--- B ---
SrCdMo2 | PBE | relaxed

## Properties
Space-group type: Cm
Crystal system: monoclinic

Unit cell a=4.5787 b=4.5787 c=7.1535 alpha=83.17 beta=83.17 gamma=40.02
Fractional coordinates of all 4 atoms:
Cd: 0.2631 0.2631 0.1870
Mo: 0.0076 0.0076 0.9579
Mo: 0.7302 0.7302 0.8338
Sr: 0.4990 0.4990 0.5213

***

--- C ---
SrCdMo2 | PBE | relaxed

## Properties
Space-group type: C2/m
Crystal system: monoclinic

Unit cell a=5.8078 b=5.8078 c=5.3840 alpha=76.38 beta=76.38 gamma=28.16
Fractional coordinates of all 4 atoms:
Sr: 0.7500 0.7500 0.7500
Mo: 0.9810 0.9810 0.0216
Mo: 0.5190 0.5190 0.4784
Cd: 0.2500 0.2500 0.2500

***

--- D ---
SrCdMo2 | PBE | relaxed

## Properties
Space-group type: Imm2
Crystal system: orthorhombic

Unit cell a=6.0038 b=6.0038 c=6.0038 alpha=147.43 beta=126.20 gamma=64.32
Fractional coordinates of all 4 atoms:
Cd: 0.2256 0.7256 0.5000
Mo: 0.7959 0.2959 0.5000
Mo: 0.9630 0.9630 0.0000
Sr: 0.5156 0.5156 0.0000

***

Which is most stable? The ranking, best first, is B, D, C, A.

***

--- A ---
SrCdMo2 | PBE | relaxed

## Properties
Space-group type: P2/m
Crystal system: monoclinic

Unit cell a=5.3861 b=2.9011 c=5.4393 alpha=85.14 beta=90.00 gamma=90.00
Fractional coordinates of all 4 atoms:
Cd: 0.5000 0.7500 0.7500
Sr: 0.5000 0.2500 0.2500
Mo: 0.0000 0.8990 0.0241
Mo: 0.0000 0.6010 0.4759

***

--- B ---
SrCdMo2 | PBE | relaxed

## Properties
Space-group type: Fm-3m
Crystal system: cubic

Unit cell a=4.8677 b=4.8677 c=4.8677 alpha=60.00 beta=60.00 gamma=60.00
Fractional coordinates of all 4 atoms:
Sr: 0.0000 0.0000 0.0000
Mo: 0.2500 0.2500 0.2500
Mo: 0.7500 0.7500 0.7500
Cd: 0.5000 0.5000 0.5000

***

--- C ---
SrCdMo2 | PBE | relaxed

## Properties
Space-group type: I4/mmm
Crystal system: tetragonal

Unit cell a=5.7997 b=5.7997 c=5.7997 alpha=138.35 beta=138.35 gamma=60.36
Fractional coordinates of all 4 atoms:
Mo: 0.0000 0.0000 0.0000
Mo: 0.5000 0.5000 0.0000
Sr: 0.2500 0.7500 0.5000
Cd: 0.7500 0.2500 0.5000

***

Which is most stable? The ranking, best first, is A, C, B.

***

--- A ---
SrCdMo3 | PBE | relaxed

## Properties
Space-group type: Pm-3m
Crystal system: cubic

Unit cell a=4.8284 b=4.8284 c=4.8284 alpha=90.00 beta=90.00 gamma=90.00
Fractional coordinates of all 5 atoms:
Mo: 0.0000 0.0000 0.5000
Mo: 0.0000 0.5000 0.0000
Mo: 0.5000 0.0000 0.0000
Cd: 0.5000 0.5000 0.5000
Sr: 0.0000 0.0000 0.0000

***

--- B ---
SrCdMo3 | PBE | relaxed

## Properties
Space-group type: Pm-3m
Crystal system: cubic

Unit cell a=5.0417 b=5.0417 c=5.0417 alpha=90.00 beta=90.00 gamma=90.00
Fractional coordinates of all 5 atoms:
Sr: 0.5000 0.5000 0.5000
Cd: 0.0000 0.0000 0.0000
Mo: 0.0000 0.5000 0.0000
Mo: 0.0000 0.0000 0.5000
Mo: 0.5000 0.0000 0.0000

***

Which is most stable? The ranking, best first, is B, A.

***

--- A ---
TaCdMo3 | PBE | relaxed

## Properties
Space-group type: Pm-3m
Crystal system: cubic

Unit cell a=4.7973 b=4.7973 c=4.7973 alpha=90.00 beta=90.00 gamma=90.00
Fractional coordinates of all 5 atoms:
Cd: 0.5000 0.5000 0.5000
Mo: 0.0000 0.5000 0.0000
Mo: 0.0000 0.0000 0.5000
Mo: 0.5000 0.0000 0.0000
Ta: 0.0000 0.0000 0.0000

***

--- B ---
TaCdMo3 | PBE | relaxed

## Properties
Space-group type: Pm-3m
Crystal system: cubic

Unit cell a=4.7798 b=4.7798 c=4.7798 alpha=90.00 beta=90.00 gamma=90.00
Fractional coordinates of all 5 atoms:
Mo: 0.0000 0.5000 0.0000
Mo: 0.5000 0.0000 0.0000
Mo: 0.0000 0.0000 0.5000
Ta: 0.5000 0.5000 0.5000
Cd: 0.0000 0.0000 0.0000

***

Which is most stable? The ranking, best first, is A, B.

***

--- A ---
CdTc3Mo | PBE | relaxed

## Properties
Space-group type: Pm-3m
Crystal system: cubic

Unit cell a=4.7008 b=4.7008 c=4.7008 alpha=90.00 beta=90.00 gamma=90.00
Fractional coordinates of all 5 atoms:
Tc: 0.5000 0.0000 0.0000
Tc: 0.0000 0.5000 0.0000
Tc: 0.0000 0.0000 0.5000
Cd: 0.0000 0.0000 0.0000
Mo: 0.5000 0.5000 0.5000

***

--- B ---
CdTc3Mo | PBE | relaxed

## Properties
Space-group type: Pm-3m
Crystal system: cubic

Unit cell a=4.7027 b=4.7027 c=4.7027 alpha=90.00 beta=90.00 gamma=90.00
Fractional coordinates of all 5 atoms:
Cd: 0.5000 0.5000 0.5000
Tc: 0.0000 0.5000 0.0000
Tc: 0.5000 0.0000 0.0000
Tc: 0.0000 0.0000 0.5000
Mo: 0.0000 0.0000 0.0000

***

Which is most stable? The ranking, best first, is B, A.

***

--- A ---
Cd3TcMo | PBE | relaxed

## Properties
Space-group type: Pm-3m
Crystal system: cubic

Unit cell a=5.2258 b=5.2258 c=5.2258 alpha=90.00 beta=90.00 gamma=90.00
Fractional coordinates of all 5 atoms:
Cd: 0.0000 0.0000 0.5000
Cd: 0.0000 0.5000 0.0000
Cd: 0.5000 0.0000 0.0000
Mo: 0.0000 0.0000 0.0000
Tc: 0.5000 0.5000 0.5000

***

--- B ---
Cd3TcMo | PBE | relaxed

## Properties
Space-group type: Pm-3m
Crystal system: cubic

Unit cell a=5.1736 b=5.1736 c=5.1736 alpha=90.00 beta=90.00 gamma=90.00
Fractional coordinates of all 5 atoms:
Tc: 0.0000 0.0000 0.0000
Mo: 0.5000 0.5000 0.5000
Cd: 0.0000 0.5000 0.0000
Cd: 0.5000 0.0000 0.0000
Cd: 0.0000 0.0000 0.5000

***

Which is most stable? The ranking, best first, is B, A.